[1]
CaPrNi2 | PBE | optimized geometry

Values from the calculation:
Space group: Amm2
Total magnetic moment in μB per cell: 0.0
Energy of formation from the pure elements in eV per atom: -0.215

Unit cell a=4.014 b=4.136 c=5.713 alpha=90.00 beta=110.59 gamma=90.00
Sites, in units of the cell vectors:
Ca: 0.725 0.000 0.989
Pr: 0.444 0.500 0.427
Ni: 0.142 0.500 0.824
Ni: 0.021 0.000 0.579

---

[2]
LiH5PtRh | PBE | optimized geometry

Values from the calculation:
E in eV per cell: -66.03
Space group: C2/c
Total magnetic moment in μB per cell: 0.0

Unit cell a=5.154 b=5.154 c=6.071 alpha=106.97 beta=106.97 gamma=111.84
Sites, in units of the cell vectors:
Li: 0.338 0.662 0.250
Li: 0.662 0.338 0.750
H: 0.093 0.907 0.250
H: 0.907 0.093 0.750
H: 0.919 0.303 0.071
H: 0.081 0.697 0.929
H: 0.697 0.081 0.429
H: 0.303 0.919 0.571
H: 0.722 0.619 0.454
H: 0.278 0.381 0.546
H: 0.381 0.278 0.046
H: 0.619 0.722 0.954
Pt: 0.698 0.302 0.250
Pt: 0.302 0.698 0.750
Rh: 0.000 0.000 0.500
Rh: 0.000 0.000 0.000

---

[3]
PrEr2PuAs4 | PBE | optimized geometry

Values from the calculation:
Space group: P2/m
Total magnetic moment in μB per cell: 4.9
Energy of formation from the pure elements in eV per atom: -1.369

Unit cell a=4.161 b=7.181 c=7.195 alpha=70.50 beta=90.00 gamma=90.00
Site moments in Bohr magnetons follow the coordinates.
Sites, in units of the cell vectors:
Pr: 0.500 0.500 0.000  0.02
Er: 0.000 0.000 0.000  -0.04
Er: 0.500 0.000 0.500  0.00
Pu: 0.000 0.500 0.500  5.04
As: 0.000 0.760 0.741  -0.04
As: 0.000 0.240 0.259  -0.04
As: 0.500 0.755 0.254  -0.07
As: 0.500 0.245 0.746  -0.07

---

[4]
BaSbBr4 | PBE | optimized geometry

Values from the calculation:
E_form (uncorrected) in kcal/mol of atoms: -6.67
Space group: F-43m
Total magnetic moment in μB per cell: 0.9

Unit cell a=6.569 b=6.569 c=6.569 alpha=60.00 beta=60.00 gamma=60.00
Site moments in Bohr magnetons follow the coordinates.
Sites, in units of the cell vectors:
Ba: 0.000 0.000 0.000  0.06
Sb: 0.750 0.750 0.750  0.84
Br: 0.876 0.375 0.375  -0.28
Br: 0.375 0.375 0.876  -0.28
Br: 0.375 0.876 0.375  -0.28
Br: 0.375 0.375 0.375  -0.28

---

[5]
YTa2PdAu | PBE | optimized geometry

Values from the calculation:
Space group: P4/mmm
Total magnetic moment in μB per cell: 0.0
Energy of formation from the pure elements in eV per atom: 0.829

Unit cell a=4.843 b=5.106 c=4.843 alpha=90.00 beta=90.00 gamma=90.00
Sites, in units of the cell vectors:
Y: 0.500 0.500 0.500
Au: 0.000 0.500 0.000
Pd: 0.000 0.000 0.000
Ta: 0.000 0.000 0.500
Ta: 0.500 0.000 0.000

---

[6]
CsScBrCl3 | PBE | optimized geometry

Values from the calculation:
E_form (uncorrected) in kcal/mol of atoms: -43.97
Space group: C2/c
Total magnetic moment in μB per cell: 0.2

Unit cell a=6.822 b=6.798 c=11.891 alpha=73.39 beta=90.18 gamma=90.62
Site moments in Bohr magnetons follow the coordinates.
Sites, in units of the cell vectors:
Cs: 0.250 0.252 0.496  0.00
Cs: 0.750 0.748 0.504  0.00
Sc: 0.750 0.032 0.937  0.00
Sc: 0.250 0.968 0.063  0.00
Br: 0.250 0.696 0.608  0.07
Br: 0.750 0.304 0.392  0.07
Cl: 0.474 0.774 0.974  0.00
Cl: 0.026 0.252 0.974  0.00
Cl: 0.750 0.132 0.736  0.00
Cl: 0.526 0.226 0.026  0.00
Cl: 0.974 0.748 0.026  0.00
Cl: 0.250 0.868 0.264  0.00

---

[7]
Ba2SiBr | PBE | optimized geometry

Values from the calculation:
Relative energy among the computed polymorphs in meV per atom: 0
E_form (uncorrected) in kcal/mol of atoms: -21.62
Space group: R-3m
Total magnetic moment in μB per cell: 1.0

Unit cell a=4.736 b=4.736 c=8.773 alpha=74.37 beta=74.37 gamma=60.04
Site moments in Bohr magnetons follow the coordinates.
Sites, in units of the cell vectors:
Ba: 0.992 0.992 0.023  0.06
Ba: 0.508 0.508 0.477  0.06
Br: 0.750 0.750 0.750  0.00
Si: 0.250 0.250 0.250  0.23

---

[8]
LiMn3Rh4 | PBE | optimized geometry

Values from the calculation:
Space group: Pmmm
Total magnetic moment in μB per cell: 11.1
Energy of formation from the pure elements in eV per atom: -0.171

Unit cell a=3.037 b=4.224 c=8.423 alpha=90.00 beta=90.00 gamma=90.00
Site moments in Bohr magnetons follow the coordinates.
Sites, in units of the cell vectors:
Mn: 0.500 0.000 0.244  3.24
Mn: 0.500 0.500 0.500  3.35
Mn: 0.500 0.000 0.756  3.24
Rh: 0.000 0.000 0.500  0.48
Rh: 0.000 0.500 0.750  0.25
Rh: 0.000 0.000 0.000  0.05
Rh: 0.000 0.500 0.250  0.25
Li: 0.500 0.500 0.000  -0.02

---

[9]
Sc4ReAg | PBE | optimized geometry

Values from the calculation:
Space group: F-43m
Total magnetic moment in μB per cell: 0.0
Energy of formation from the pure elements in eV per atom: 0.558

Unit cell a=5.509 b=5.509 c=5.509 alpha=60.00 beta=60.00 gamma=60.00
Sites, in units of the cell vectors:
Sc: 0.880 0.373 0.373
Sc: 0.373 0.373 0.880
Sc: 0.373 0.880 0.373
Sc: 0.373 0.373 0.373
Re: 0.000 0.000 0.000
Ag: 0.750 0.750 0.750

---

[10]
KBaGa2 | PBE | optimized geometry

Values from the calculation:
Relative energy among the computed polymorphs in meV per atom: 0
Space group: Fm-3m
Total magnetic moment in μB per cell: 0.0
Energy of formation from the pure elements in eV per atom: -0.049

Unit cell a=5.739 b=5.739 c=5.739 alpha=60.00 beta=60.00 gamma=60.00
Sites, in units of the cell vectors:
K: 0.000 0.000 0.000
Ba: 0.500 0.500 0.500
Ga: 0.250 0.250 0.250
Ga: 0.750 0.750 0.750

---

[11]
AgB | PBE | optimized geometry

Values from the calculation:
Relative energy among the computed polymorphs in meV per atom: 54
Space group: Pmmn
Total magnetic moment in μB per cell: 0.0
Energy of formation from the pure elements in eV per atom: 0.430

Unit cell a=2.985 b=4.969 c=10.296 alpha=90.00 beta=90.00 gamma=90.00
Sites, in units of the cell vectors:
Ag: 0.000 0.748 0.775
Ag: 0.500 0.252 0.725
Ag: 0.500 0.252 0.275
Ag: 0.000 0.748 0.225
Ag: 0.000 0.532 0.500
Ag: 0.500 0.468 0.000
B: 0.000 0.004 0.580
B: 0.500 0.996 0.920
B: 0.500 0.996 0.080
B: 0.000 0.004 0.420
B: 0.000 0.932 0.000
B: 0.500 0.068 0.500

---

[12]
NaSnB | PBE | optimized geometry

Values from the calculation:
Space group: P4_122
Total magnetic moment in μB per cell: 0.0
Energy of formation from the pure elements in eV per atom: 0.760

Unit cell a=4.364 b=4.364 c=12.559 alpha=90.00 beta=90.00 gamma=90.00
Sites, in units of the cell vectors:
Na: 0.000 0.626 0.000
Na: 0.000 0.374 0.500
Na: 0.374 0.000 0.250
Na: 0.626 0.000 0.750
B: 0.896 0.896 0.375
B: 0.104 0.104 0.875
B: 0.104 0.896 0.625
B: 0.896 0.104 0.125
Sn: 0.500 0.132 0.000
Sn: 0.500 0.868 0.500
Sn: 0.868 0.500 0.250
Sn: 0.132 0.500 0.750

---

[13]
ZnSnPb2Se5 | PBE | optimized geometry

Values from the calculation:
E_form (uncorrected) in kcal/mol of atoms: -10.96
Space group: Cmc2_1
Total magnetic moment in μB per cell: 0.0

Unit cell a=4.033 b=9.416 c=13.120 alpha=90.00 beta=90.00 gamma=102.37
Sites, in units of the cell vectors:
Zn: 0.570 0.140 0.946
Zn: 0.430 0.860 0.446
Sn: 0.772 0.544 0.532
Sn: 0.228 0.456 0.032
Pb: 0.884 0.768 0.797
Pb: 0.086 0.173 0.648
Pb: 0.116 0.232 0.297
Pb: 0.914 0.827 0.148
Se: 0.371 0.742 0.987
Se: 0.703 0.406 0.893
Se: 0.503 0.006 0.786
Se: 0.262 0.524 0.677
Se: 0.933 0.866 0.556
Se: 0.629 0.258 0.487
Se: 0.297 0.594 0.393
Se: 0.497 0.994 0.286
Se: 0.738 0.476 0.177
Se: 0.067 0.134 0.056

---

[14]
Ho5Th | PBE | optimized geometry

Values from the calculation:
Relative energy among the computed polymorphs in meV per atom: 11
Space group: Cmmm
Total magnetic moment in μB per cell: 0.0
Energy of formation from the pure elements in eV per atom: 0.035

Unit cell a=5.016 b=5.004 c=7.888 alpha=108.49 beta=90.00 gamma=90.00
Sites, in units of the cell vectors:
Ho: 0.000 0.666 0.332
Ho: 0.000 0.334 0.668
Ho: 0.500 0.500 0.000
Ho: 0.500 0.164 0.328
Ho: 0.500 0.836 0.672
Th: 0.000 0.000 0.000

---

[15]
Pm2TmHg | PBE | optimized geometry

Values from the calculation:
Relative energy among the computed polymorphs in meV per atom: 0
Space group: P4/nmm
Total magnetic moment in μB per cell: 0.0
Energy of formation from the pure elements in eV per atom: -0.228

Unit cell a=5.188 b=5.188 c=8.870 alpha=90.00 beta=90.00 gamma=90.00
Sites, in units of the cell vectors:
Pm: 0.000 0.000 0.500
Pm: 0.500 0.500 0.500
Pm: 0.000 0.500 0.780
Pm: 0.500 0.000 0.220
Tm: 0.000 0.500 0.217
Tm: 0.500 0.000 0.783
Hg: 0.000 0.000 0.000
Hg: 0.500 0.500 0.000

---

[16]
NdTiTe3 | PBE | optimized geometry

Values from the calculation:
E_form (uncorrected) in kcal/mol of atoms: -24.77
Space group: C2/m
Total magnetic moment in μB per cell: 1.8

Unit cell a=4.091 b=8.133 c=9.112 alpha=90.54 beta=90.00 gamma=104.56
Site moments in Bohr magnetons follow the coordinates.
Sites, in units of the cell vectors:
Nd: 0.418 0.869 0.310  0.02
Nd: 0.626 0.285 0.111  0.02
Ti: 0.225 0.483 0.583  0.76
Ti: 0.819 0.671 0.839  0.76
Te: 0.074 0.182 0.385  -0.02
Te: 0.394 0.821 0.674  -0.04
Te: 0.650 0.333 0.748  -0.04
Te: 0.970 0.972 0.036  -0.02
Te: 0.276 0.586 0.045  -0.02
Te: 0.768 0.568 0.376  -0.02

---

[17]
Y2CrRe2 | PBE | optimized geometry

Values from the calculation:
Relative energy among the computed polymorphs in meV per atom: 0
Space group: P4/mbm
Total magnetic moment in μB per cell: 0.0
Energy of formation from the pure elements in eV per atom: 0.249

Unit cell a=6.435 b=6.435 c=4.854 alpha=90.00 beta=90.00 gamma=90.00
Sites, in units of the cell vectors:
Y: 0.176 0.676 0.500
Y: 0.676 0.824 0.500
Y: 0.824 0.324 0.500
Y: 0.324 0.176 0.500
Re: 0.363 0.863 0.000
Re: 0.863 0.637 0.000
Re: 0.637 0.137 0.000
Re: 0.137 0.363 0.000
Cr: 0.000 0.000 0.000
Cr: 0.500 0.500 0.000

---

[18]
Sc2NbGa3 | PBE | optimized geometry

Values from the calculation:
Space group: Cmmm
Total magnetic moment in μB per cell: 0.0
Energy of formation from the pure elements in eV per atom: -0.447

Unit cell a=7.865 b=6.709 c=6.709 alpha=142.70 beta=90.00 gamma=90.00
Sites, in units of the cell vectors:
Sc: 0.720 0.335 0.665
Sc: 0.220 0.335 0.665
Sc: 0.220 0.665 0.335
Sc: 0.720 0.665 0.335
Nb: 0.720 0.000 0.000
Nb: 0.220 0.000 0.000
Ga: 0.470 0.163 0.837
Ga: 0.970 0.163 0.837
Ga: 0.470 0.500 0.500
Ga: 0.970 0.500 0.500
Ga: 0.970 0.837 0.163
Ga: 0.470 0.837 0.163

---

[19]
ReIrOs | PBE | optimized geometry

Values from the calculation:
Relative energy among the computed polymorphs in meV per atom: 263
Space group: P-6m2
Total magnetic moment in μB per cell: 0.0
Energy of formation from the pure elements in eV per atom: 0.215

Unit cell a=4.342 b=4.342 c=2.760 alpha=90.00 beta=90.00 gamma=120.00
Sites, in units of the cell vectors:
Ir: 0.000 0.000 0.000
Os: 0.667 0.333 0.500
Re: 0.333 0.667 0.500

---

[20]
Mg9In2Bi | PBE | optimized geometry

Values from the calculation:
Space group: P4/mmm
Total magnetic moment in μB per cell: 0.0
Energy of formation from the pure elements in eV per atom: -0.084

Unit cell a=4.525 b=4.525 c=13.687 alpha=90.00 beta=90.00 gamma=90.00
Sites, in units of the cell vectors:
Mg: 0.500 0.500 0.000
Mg: 0.500 0.500 0.337
Mg: 0.500 0.500 0.663
Mg: 0.500 0.000 0.176
Mg: 0.500 0.000 0.500
Mg: 0.500 0.000 0.824
Mg: 0.000 0.500 0.176
Mg: 0.000 0.500 0.500
Mg: 0.000 0.500 0.824
In: 0.000 0.000 0.337
In: 0.000 0.000 0.663
Bi: 0.000 0.000 0.000

---

[21]
LaTaRe2 | PBE | optimized geometry

Values from the calculation:
Relative energy among the computed polymorphs in meV per atom: 182
Space group: Cm
Total magnetic moment in μB per cell: 0.0
Energy of formation from the pure elements in eV per atom: 0.405

Unit cell a=5.303 b=5.303 c=5.418 alpha=74.86 beta=74.86 gamma=34.57
Sites, in units of the cell vectors:
La: 0.261 0.261 0.242
Re: 0.032 0.032 0.911
Re: 0.742 0.742 0.765
Ta: 0.465 0.465 0.582

---

[22]
GaNiOs2 | PBE | optimized geometry

Values from the calculation:
Space group: I-42d
Total magnetic moment in μB per cell: 2.4
Energy of formation from the pure elements in eV per atom: 0.778

Unit cell a=6.904 b=6.904 c=5.493 alpha=51.06 beta=51.06 gamma=90.00
Site moments in Bohr magnetons follow the coordinates.
Sites, in units of the cell vectors:
Ni: 0.500 0.500 0.000  0.24
Ni: 0.250 0.750 0.500  0.24
Os: 0.611 0.125 0.250  0.46
Os: 0.139 0.625 0.250  0.46
Os: 0.375 0.389 0.750  0.46
Os: 0.875 0.861 0.750  0.46
Ga: 0.000 0.000 0.000  -0.01
Ga: 0.750 0.250 0.500  -0.01

---

[23]
KTe2Rh | PBE | optimized geometry

Values from the calculation:
E_form (uncorrected) in kcal/mol of atoms: 2.52
Space group: P4/mmm
Total magnetic moment in μB per cell: 0.0

Unit cell a=4.946 b=4.951 c=4.005 alpha=90.00 beta=90.00 gamma=90.00
Sites, in units of the cell vectors:
K: 0.500 0.000 0.500
Rh: 0.000 0.500 0.500
Te: 0.000 0.000 0.000
Te: 0.500 0.500 0.000

---

[24]
Dy2Ga5Ni5 | PBE | optimized geometry

Values from the calculation:
Relative energy among the computed polymorphs in meV per atom: 51
Space group: Pmmm
Total magnetic moment in μB per cell: 0.0
Energy of formation from the pure elements in eV per atom: -0.511

Unit cell a=3.884 b=5.193 c=9.253 alpha=90.00 beta=90.00 gamma=90.00
Sites, in units of the cell vectors:
Dy: 0.000 0.500 0.000
Dy: 0.000 0.000 0.500
Ga: 0.000 0.500 0.333
Ga: 0.000 0.000 0.814
Ga: 0.000 0.000 0.186
Ga: 0.000 0.500 0.667
Ga: 0.500 0.000 0.000
Ni: 0.500 0.500 0.500
Ni: 0.500 0.744 0.246
Ni: 0.500 0.256 0.754
Ni: 0.500 0.256 0.246
Ni: 0.500 0.744 0.754